## Sc2FePb (GGA-PBEsol)

Data for an optimized crystal structure of Sc2FePb.

Values from the calculation:
symmetry = R-3m
ΔE_f = 0.61 eV per formula unit

```
Sc2FePb
1.0
1.646 0.950 9.409
-1.646 0.950 9.409
0.000 -1.900 9.409
Sc Fe Pb
2 1 1
Cartesian
0.000 0.000 3.046 Sc
0.000 0.000 25.182 Sc
0.000 0.000 14.114 Fe
0.000 0.000 0.000 Pb
```


## SrZrPb2 (GGA-PBEsol)

Data for an optimized crystal structure of SrZrPb2.

Values from the calculation:
symmetry = Pmmm
ΔE_f = -0.32 eV per formula unit

```
SrZrPb2
1.0
3.356 0.000 0.000
0.000 5.405 0.000
0.000 0.000 6.209
Sr Zr Pb
1 1 2
Cartesian
0.000 0.000 0.000 Sr
1.678 2.703 3.105 Zr
0.000 0.000 3.105 Pb
1.678 2.703 0.000 Pb
```


## CrHgSCl2 (GGA-PBEsol)

Data for an optimized crystal structure of CrHgSCl2.

Values from the calculation:
energy relative to the elements, uncorrected = -331 meV per atom
symmetry = P4/mmm

```
CrHgSCl2
1.0
4.734 0.000 0.000
0.000 4.734 0.000
0.000 0.000 4.544
Cr Hg S Cl
1 1 1 2
Cartesian
0.000 0.000 0.000 Cr
2.367 2.367 2.272 Hg
0.000 0.000 2.272 S
0.000 2.367 0.000 Cl
2.367 0.000 0.000 Cl
```


## Li2LuIn (GGA-PBEsol)

Data for an optimized crystal structure of Li2LuIn.

Values from the calculation:
symmetry = Fm-3m
ΔE_f = -1.08 eV per formula unit

```
Li2LuIn
1.0
0.000 3.336 3.336
3.336 0.000 3.336
3.336 3.336 0.000
Li Lu In
2 1 1
Cartesian
1.668 1.668 1.668 Li
5.005 5.005 5.005 Li
0.000 0.000 0.000 Lu
3.336 3.336 3.336 In
```


Going through the records in order, we get magnetization values of 0.639, 0.000, 2.479, 0.000 Bohr magnetons per cell.
Going through the records in order, we get raw total energy values of -6.3916, -4.8114, -4.1729, -3.2178 eV/atom.